The following is a PBE calculation of a relaxed structure of Pr3Y3Te2Os, from OQMD.

- E above lowest polymorph (meV/atom) = 0
- mass density (g cm⁻³) = 7.3

abc: 8.4873 8.4873 4.1450
angles: 90.00 90.00 120.00
Space group P-62m (No. 189)
Inequivalent atoms, fractional coordinates:
Pr 0.0000 0.6005 0.0000 x3
Y 0.0000 0.2344 0.5000 x3
Te 0.3333 0.6667 0.5000 x2
Os 0.0000 0.0000 0.0000 x1



The following is a PBE calculation of a relaxed structure of UAlAu2, from OQMD.

- mass density (g cm⁻³) = 13.4
- DFT total energy (eV per atom) = -5.633

abc: 8.362 6.945 5.613
angles: 90.00 90.00 90.00
Space group Pnma (No. 62)
Inequivalent atoms, fractional coordinates:
U 0.055 0.250 0.151 x4
Al 0.104 0.750 0.345 x4
Au 0.178 0.043 0.628 x8